Below is a relaxed structure of Ca2Al6Zn, with properties calculated at the PBE-GGA level.

Calculated values
Density of states at the Fermi level ... 0.38 states/eV per atom
DFT formation energy ... -1.784 eV per formula unit
Uncorrected energy ... -3.2796 eV per atom

CIF file:
```
data_Ca2Al6Zn
_chemical_formula_sum 'Ca4 Al12 Zn2'
_cell_length_a 10.1024
_cell_length_b 5.9369
_cell_length_c 6.2794
_cell_angle_alpha 90.00
_cell_angle_beta 103.71
_cell_angle_gamma 90.00
_space_group_name_H-M_alt 'C 1 2/m 1'
_space_group_IT_number 12
loop_
_space_group_symop_operation_xyz
'x,y,z'
'-x,-y,-z'
'-x,y,-z'
'x,-y,z'
'x+1/2,y+1/2,z'
'-x+1/2,-y+1/2,-z'
'-x+1/2,y+1/2,-z'
'x+1/2,-y+1/2,z'
loop_
_atom_site_label
_atom_site_fract_x
_atom_site_fract_y
_atom_site_fract_z
Ca1 0.1495 0.0000 0.3655
Al1 0.1196 0.5000 0.1774
Al2 0.1327 0.2305 0.8425
Zn1 0.0000 0.5000 0.5000
```

***

Below is a relaxed structure of LiCo3H6, with properties calculated at the PBE-GGA level.

Calculated values
Density of states at the Fermi level ... 0.68 states/eV per atom
Uncorrected energy ... -4.3542 eV per atom

CIF file:
```
data_LiCo3H6
_chemical_formula_sum 'Li3 Co9 H18'
_cell_length_a 4.2524
_cell_length_b 4.2524
_cell_length_c 11.9042
_cell_angle_alpha 90.00
_cell_angle_beta 90.00
_cell_angle_gamma 120.00
_space_group_name_H-M_alt 'R 3'
_space_group_IT_number 146
_space_group_name_Hall 'R 3'
loop_
_atom_site_label
_atom_site_fract_x
_atom_site_fract_y
_atom_site_fract_z
Li1 0.0000 0.0000 0.0000
Co1 0.0000 0.0000 0.2201
Co2 0.0000 0.0000 0.5634
Co3 0.0000 0.0000 0.7786
H1 0.0537 0.3374 0.1387
H2 0.1483 0.8099 0.3223
```

***

Below is a relaxed structure of Gd2GeCl, with properties calculated at the PBE-GGA level.

Calculated values
Density of states at the Fermi level ... 0.73 states/eV per atom
Uncorrected energy ... -9.8785 eV per atom

CIF file:
```
data_Gd2GeCl
_chemical_formula_sum 'Gd6 Ge3 Cl3'
_cell_length_a 4.2049
_cell_length_b 4.2049
_cell_length_c 19.7964
_cell_angle_alpha 90.00
_cell_angle_beta 90.00
_cell_angle_gamma 120.00
_space_group_name_H-M_alt 'R -3 m'
_space_group_IT_number 166
_space_group_name_Hall '-R 3 2"'
loop_
_atom_site_label
_atom_site_fract_x
_atom_site_fract_y
_atom_site_fract_z
Gd1 0.0000 0.0000 0.2440
Ge1 0.0000 0.0000 0.5000
Cl1 0.0000 0.0000 0.0000
```

***

Below is a relaxed structure of MnNb2Pd9, with properties calculated at the PBE-GGA level.

Calculated values
Density of states at the Fermi level ... 0.35 states/eV per atom
DFT formation energy ... -4.370 eV per formula unit
Uncorrected energy ... -6.7012 eV per atom

CIF file:
```
data_MnNb2Pd9
_chemical_formula_sum 'Mn1 Nb2 Pd9'
_cell_length_a 3.9600
_cell_length_b 3.9600
_cell_length_c 11.9073
_cell_angle_alpha 90.00
_cell_angle_beta 90.00
_cell_angle_gamma 90.00
_space_group_name_H-M_alt 'P 4/m m m'
_space_group_IT_number 123
_space_group_name_Hall '-P 4 2'
loop_
_atom_site_label
_atom_site_fract_x
_atom_site_fract_y
_atom_site_fract_z
Mn1 0.0000 0.0000 0.0000
Nb1 0.0000 0.0000 0.3260
Pd1 0.0000 0.5000 0.1692
Pd2 0.0000 0.5000 0.5000
Pd3 0.5000 0.5000 0.0000
Pd4 0.5000 0.5000 0.3358
```

***

Below is a relaxed structure of Cu2NiOs, with properties calculated at the PBE-GGA level.

Calculated values
Distance to the lowest polymorph of the same formula ... 680 meV per atom
Density of states at the Fermi level ... 1.06 states/eV per atom
DFT formation energy ... 3.294 eV per formula unit
Uncorrected energy ... -5.4775 eV per atom

CIF file:
```
data_Cu2NiOs
_chemical_formula_sum 'Cu8 Ni4 Os4'
_cell_length_a 6.6122
_cell_length_b 6.6122
_cell_length_c 4.8993
_cell_angle_alpha 90.00
_cell_angle_beta 90.00
_cell_angle_gamma 90.00
_space_group_name_H-M_alt 'I -4 2 d'
_space_group_IT_number 122
_space_group_name_Hall 'I -4 2bw'
loop_
_atom_site_label
_atom_site_fract_x
_atom_site_fract_y
_atom_site_fract_z
Cu1 0.2345 0.7500 0.1250
Ni1 0.0000 0.0000 0.0000
Os1 0.0000 0.0000 0.5000
```

***

Below is a relaxed structure of ReTe2Rh, with properties calculated at the PBE-GGA level.

Calculated values
Distance to the lowest polymorph of the same formula ... 641 meV per atom
Density of states at the Fermi level ... 1.19 states/eV per atom
Uncorrected energy ... -5.7012 eV per atom

CIF file:
```
data_ReTe2Rh
_chemical_formula_sum 'Re2 Te4 Rh2'
_cell_length_a 3.2731
_cell_length_b 5.4060
_cell_length_c 8.8500
_cell_angle_alpha 90.00
_cell_angle_beta 90.00
_cell_angle_gamma 90.00
_space_group_name_H-M_alt 'C m m m'
_space_group_IT_number 65
_space_group_name_Hall '-C 2 2'
loop_
_atom_site_label
_atom_site_fract_x
_atom_site_fract_y
_atom_site_fract_z
Re1 0.0000 0.0000 0.0000
Te1 0.0000 0.5000 0.2499
Rh1 0.0000 0.0000 0.5000
```

***

Below is a relaxed structure of Cs8I4BrCl3, with properties calculated at the PBE-GGA level.

Calculated values
Density of states at the Fermi level ... 0.00 states/eV per atom
Uncorrected energy ... -2.9934 eV per atom

CIF file:
```
data_Cs8I4BrCl3
_chemical_formula_sum 'Cs24 I12 Br3 Cl9'
_cell_length_a 10.5149
_cell_length_b 10.5149
_cell_length_c 26.4228
_cell_angle_alpha 90.00
_cell_angle_beta 90.00
_cell_angle_gamma 120.00
_space_group_name_H-M_alt 'R -3 m'
_space_group_IT_number 166
_space_group_name_Hall '-R 3 2"'
loop_
_atom_site_label
_atom_site_fract_x
_atom_site_fract_y
_atom_site_fract_z
Cs1 0.0000 0.0000 0.2408
Cs2 0.0054 0.5027 0.7579
I1 0.0000 0.0000 0.0000
I2 0.0000 0.5000 0.0000
Br1 0.0000 0.0000 0.5000
Cl1 0.0000 0.5000 0.5000
```

***

Below is a relaxed structure of PmSm12Y6, with properties calculated at the PBE-GGA level.

Calculated values
Distance to the lowest polymorph of the same formula ... 0 meV per atom
Density of states at the Fermi level ... 1.99 states/eV per atom
DFT formation energy ... 3.782 eV per formula unit
Uncorrected energy ... -5.0728 eV per atom

CIF file:
```
data_PmSm12Y6
_chemical_formula_sum 'Pm3 Sm36 Y18'
_cell_length_a 13.4277
_cell_length_b 13.4277
_cell_length_c 12.6704
_cell_angle_alpha 90.00
_cell_angle_beta 90.00
_cell_angle_gamma 120.00
_space_group_name_H-M_alt 'R -3 m'
_space_group_IT_number 166
_space_group_name_Hall '-R 3 2"'
loop_
_atom_site_label
_atom_site_fract_x
_atom_site_fract_y
_atom_site_fract_z
Pm1 0.0000 0.0000 0.0000
Sm1 0.0000 0.2569 0.5000
Sm2 0.0914 0.1827 0.2627
Y1 0.0408 0.5204 0.6210
```

***

Below is a relaxed structure of Ba2SrNpSe6, with properties calculated at the PBE-GGA level.

Calculated values
Uncorrected energy ... -5.4724 eV per atom

CIF file:
```
data_Ba2SrNpSe6
_chemical_formula_sum 'Ba4 Sr2 Np2 Se12'
_cell_length_a 7.5070
_cell_length_b 8.0822
_cell_length_c 13.2577
_cell_angle_alpha 90.00
_cell_angle_beta 124.43
_cell_angle_gamma 90.00
_space_group_name_H-M_alt 'P 1 21/c 1'
_space_group_IT_number 14
loop_
_space_group_symop_operation_xyz
'x,y,z'
'-x,-y,-z'
'-x,y+1/2,-z+1/2'
'x,-y+1/2,z+1/2'
loop_
_atom_site_label
_atom_site_fract_x
_atom_site_fract_y
_atom_site_fract_z
Ba1 0.2246 0.0804 0.2512
Sr1 0.5000 0.0000 0.0000
Np1 0.0000 0.0000 0.5000
Se1 0.1141 0.2147 0.9420
Se2 0.2420 0.6791 0.9496
Se3 0.3383 0.0306 0.7333
```

***

Below is a relaxed structure of Mg2FeTcHg, with properties calculated at the PBE-GGA level.

Calculated values
Density of states at the Fermi level ... 0.97 states/eV per atom
DFT formation energy ... 6.580 eV per formula unit
Uncorrected energy ... -3.1480 eV per atom

CIF file:
```
data_Mg2FeTcHg
_chemical_formula_sum 'Mg2 Fe1 Tc1 Hg1'
_cell_length_a 4.9472
_cell_length_b 4.9472
_cell_length_c 4.9099
_cell_angle_alpha 90.00
_cell_angle_beta 90.00
_cell_angle_gamma 90.00
_space_group_name_H-M_alt 'P 4/m m m'
_space_group_IT_number 123
_space_group_name_Hall '-P 4 2'
loop_
_atom_site_label
_atom_site_fract_x
_atom_site_fract_y
_atom_site_fract_z
Mg1 0.0000 0.5000 0.0000
Fe1 0.0000 0.0000 0.5000
Tc1 0.5000 0.5000 0.5000
Hg1 0.0000 0.0000 0.0000
```